Entry w
# BaSr3Rh | Alexandria | PBE | relaxed
# SG   P2_1/m
# Crystal system   monoclinic
data_BaSr3Rh
_space_group_name_H-M_alt 'P 1'
_space_group_IT_number 1
_cell_length_a 5.8860
_cell_length_b 9.1619
_cell_length_c 8.3761
_cell_angle_alpha 90.00
_cell_angle_beta 94.75
_cell_angle_gamma 90.00
loop_
_space_group_symop_operation_xyz
'x,y,z'
loop_
_atom_site_label
_atom_site_fract_x
_atom_site_fract_y
_atom_site_fract_z
Ba1 0.0301 0.2500 0.0693
Ba2 0.9699 0.7500 0.9307
Sr1 0.0382 0.7500 0.4704
Sr2 0.4871 0.0239 0.7267
Sr3 0.4871 0.4761 0.7267
Sr4 0.5129 0.5239 0.2733
Sr5 0.5129 0.9761 0.2733
Sr6 0.9618 0.2500 0.5296
Rh1 0.4450 0.2500 0.4479
Rh2 0.5550 0.7500 0.5521

=====

Entry x
# BaSr3Rh | Alexandria | PBE | relaxed
# SG   Cmcm
# Crystal system   orthorhombic
data_BaSr3Rh
_space_group_name_H-M_alt 'P 1'
_space_group_IT_number 1
_cell_length_a 15.4328
_cell_length_b 15.4328
_cell_length_c 6.3157
_cell_angle_alpha 90.00
_cell_angle_beta 90.00
_cell_angle_gamma 150.56
loop_
_space_group_symop_operation_xyz
'x,y,z'
loop_
_atom_site_label
_atom_site_fract_x
_atom_site_fract_y
_atom_site_fract_z
Ba1 0.1294 0.8706 0.7500
Ba2 0.8706 0.1294 0.2500
Sr1 0.0000 0.0000 0.0000
Sr2 0.0000 0.0000 0.5000
Sr3 0.0206 0.4455 0.7500
Sr4 0.4455 0.0206 0.2500
Sr5 0.5545 0.9794 0.7500
Sr6 0.9794 0.5545 0.2500
Rh1 0.2199 0.7801 0.7500
Rh2 0.7801 0.2199 0.2500

=====

Entry y
# BaSr3Rh | Alexandria | PBE | relaxed
# SG   P4mm
# Crystal system   tetragonal
data_BaSr3Rh
_space_group_name_H-M_alt 'P 1'
_space_group_IT_number 1
_cell_length_a 4.8742
_cell_length_b 4.8742
_cell_length_c 11.1405
_cell_angle_alpha 90.00
_cell_angle_beta 90.00
_cell_angle_gamma 90.00
loop_
_space_group_symop_operation_xyz
'x,y,z'
loop_
_atom_site_label
_atom_site_fract_x
_atom_site_fract_y
_atom_site_fract_z
Ba1 0.0000 0.0000 0.0000
Sr1 0.0000 0.0000 0.3977
Sr2 0.0000 0.5000 0.7150
Sr3 0.5000 0.0000 0.7150
Rh1 0.5000 0.5000 0.8755

=====

Name the most stable of them. entry w.

=====

Entry w
# BaSrRh | Alexandria | PBE | relaxed
# SG   Fddd
# Crystal system   orthorhombic
data_BaSrRh
_space_group_name_H-M_alt 'P 1'
_space_group_IT_number 1
_cell_length_a 12.5027
_cell_length_b 11.4273
_cell_length_c 6.6758
_cell_angle_alpha 82.91
_cell_angle_beta 65.09
_cell_angle_gamma 32.00
loop_
_space_group_symop_operation_xyz
'x,y,z'
loop_
_atom_site_label
_atom_site_fract_x
_atom_site_fract_y
_atom_site_fract_z
Ba1 0.0299 0.7201 0.0299
Ba2 0.2799 0.9701 0.2799
Ba3 0.7201 0.0299 0.7201
Ba4 0.9701 0.2799 0.9701
Sr1 0.2832 0.2832 0.4668
Sr2 0.4668 0.4668 0.2832
Sr3 0.5332 0.5332 0.7168
Sr4 0.7168 0.7168 0.5332
Rh1 0.0010 0.0010 0.2490
Rh2 0.2490 0.2490 0.0010
Rh3 0.7510 0.7510 0.9990
Rh4 0.9990 0.9990 0.7510

=====

Entry x
# BaSrRh | Alexandria | PBE | relaxed
# SG   P-1
# Crystal system   triclinic
data_BaSrRh
_space_group_name_H-M_alt 'P 1'
_space_group_IT_number 1
_cell_length_a 3.8322
_cell_length_b 7.4738
_cell_length_c 7.9499
_cell_angle_alpha 103.00
_cell_angle_beta 103.78
_cell_angle_gamma 90.06
loop_
_space_group_symop_operation_xyz
'x,y,z'
loop_
_atom_site_label
_atom_site_fract_x
_atom_site_fract_y
_atom_site_fract_z
Ba1 0.1190 0.0621 0.2419
Ba2 0.8810 0.9379 0.7581
Sr1 0.1153 0.5553 0.2320
Sr2 0.8847 0.4447 0.7680
Rh1 0.4994 0.2575 0.9987
Rh2 0.5006 0.7425 0.0013

=====

Name the most stable of them. entry x.